#1
12
Lattice="4.944 0.000 0.000 0.000 5.702 0.000 0.000 0.000 4.592" Properties=species:S:1:pos:R:3 comment="TcMoH PBE-GGA relaxed" space_group=Pna2_1 dos_at_fermi_per_ev_fu=2.361 pbc="T T T"
Tc 0.398 0.721 0.000
Tc 2.074 3.572 2.296
Tc 2.870 2.130 0.000
Tc 4.546 4.981 2.296
Mo 0.446 3.556 4.550
Mo 2.026 0.705 2.254
Mo 2.918 4.997 4.550
Mo 4.498 2.146 2.254
H 1.225 2.132 3.393
H 1.247 4.983 1.097
H 3.697 0.719 3.393
H 3.719 3.570 1.097

***

#2
6
Lattice="4.741 -1.418 0.000 4.741 1.418 0.000 -0.835 0.000 4.825" Properties=species:S:1:pos:R:3 comment="TcMoH PBE-GGA relaxed" space_group=C2/m dos_at_fermi_per_ev_fu=1.834 pbc="T T T"
Tc 0.841 0.000 1.830
Tc 7.806 0.000 2.995
Mo 3.563 0.000 0.655
Mo 5.084 0.000 4.170
H 1.774 0.000 3.631
H 6.874 0.000 1.194

***

#3
3
Lattice="-1.530 1.530 3.942 1.530 -1.530 3.942 1.530 1.530 -3.942" Properties=species:S:1:pos:R:3 comment="TcMoH PBE-GGA relaxed" space_group=I4mm dos_at_fermi_per_ev_fu=2.307 pbc="T T T"
Tc 0.000 0.000 0.000
Mo 0.000 0.000 5.402
H 0.000 0.000 1.925

***

Of them, #1 has the highest stability.

***

#1
4
Lattice="0.000 2.934 2.934 2.934 0.000 2.934 2.934 2.934 0.000" Properties=species:S:1:pos:R:3 comment="TeMoH2 PBE-GGA relaxed" space_group=Fm-3m dos_at_fermi_per_ev_fu=3.119 pbc="T T T"
Te 0.000 0.000 0.000
Mo 2.934 2.934 2.934
H 1.467 1.467 1.467
H 4.402 4.402 4.402

***

#2
8
Lattice="-2.156 2.156 5.703 2.156 -2.156 5.703 2.156 2.156 -5.703" Properties=species:S:1:pos:R:3 comment="TeMoH2 PBE-GGA relaxed" space_group=I4_1/amd dos_at_fermi_per_ev_fu=1.377 pbc="T T T"
Te 2.156 1.078 1.426
Te 0.000 1.078 4.277
Mo 2.156 -1.078 4.277
Mo 0.000 3.234 1.426
H 0.000 0.000 0.000
H 1.078 1.078 -2.852
H 1.078 -1.078 2.852
H 0.000 2.156 0.000

***

Of them, #2 has the highest stability.

***

#1
5
Lattice="3.716 0.000 0.000 0.000 3.716 0.000 0.000 0.000 3.716" Properties=species:S:1:pos:R:3 comment="TeMoH3 PBE-GGA relaxed" space_group=Pm-3m dos_at_fermi_per_ev_fu=2.734 pbc="T T T"
Te 0.000 0.000 0.000
Mo 1.858 1.858 1.858
H 0.000 1.858 1.858
H 1.858 0.000 1.858
H 1.858 1.858 0.000

***

#2
5
Lattice="3.822 0.000 0.000 0.000 3.822 0.000 0.000 0.000 3.822" Properties=species:S:1:pos:R:3 comment="TeMoH3 PBE-GGA relaxed" space_group=Pm-3m dos_at_fermi_per_ev_fu=3.228 pbc="T T T"
Te 0.000 0.000 0.000
Mo 1.911 1.911 1.911
H 0.000 0.000 1.911
H 0.000 1.911 0.000
H 1.911 0.000 0.000

***

Of them, #1 has the highest stability.